# BAsPd3

An optimized crystal structure of BAsPd3 (PBE-GGA, Alexandria).

a b c (Å): 4.6524 4.6524 4.6524
angles (deg): 90.00 90.00 90.00
Atoms (fractional coordinates):
Pd 0.0000 0.5000 0.0000
Pd 0.5000 0.0000 0.0000
As 0.0000 0.0000 0.0000
B 0.5000 0.5000 0.5000
Pd 0.0000 0.0000 0.5000

Values from the calculation:
size of the total moment: 0.00 μB per cell
final energy: -4.3327 eV per atom
D(E_F): 4.0 states/eV per cell
E above lowest polymorph: 111.4 kJ per mole of atoms

# BAs2Pd6

An optimized crystal structure of BAs2Pd6 (PBE-GGA, Alexandria).

a b c (Å): 5.5704 6.8317 7.2509
angles (deg): 90.00 92.22 90.00
Atoms (fractional coordinates):
Pd 0.1863 0.3332 0.0420
Pd 0.6863 0.1668 0.5420
Pd 0.8137 0.6668 0.9580
Pd 0.6820 0.2343 0.9396
Pd 0.4156 0.5203 0.7144
B 0.0000 0.0000 0.5000
As 0.4746 0.0845 0.2225
As 0.9746 0.4155 0.7225
B 0.5000 0.5000 0.0000
As 0.5254 0.9155 0.7775
Pd 0.8180 0.7343 0.5604
Pd 0.5844 0.4797 0.2856
Pd 0.1820 0.2657 0.4396
Pd 0.3137 0.8332 0.4580
Pd 0.9156 0.9797 0.2144
Pd 0.0844 0.0203 0.7856
As 0.0254 0.5845 0.2775
Pd 0.3180 0.7657 0.0604

Values from the calculation:
size of the total moment: 0.00 μB per cell
final energy: -5.4986 eV per atom
D(E_F): 7.9 states/eV per cell

# B2As5Pd12

An optimized crystal structure of B2As5Pd12 (PBE-GGA, Alexandria).

a b c (Å): 6.5258 7.6294 7.7326
angles (deg): 113.26 90.00 115.32
Atoms (fractional coordinates):
Pd 0.9752 0.9503 0.8026
As 0.2773 0.5546 0.6299
Pd 0.4069 0.2664 0.5319
Pd 0.9099 0.3341 0.0766
Pd 0.5931 0.7336 0.4681
Pd 0.0248 0.0497 0.1974
Pd 0.5111 0.0222 0.1867
Pd 0.4889 0.9778 0.8133
As 0.7227 0.4454 0.3701
Pd 0.4242 0.3341 0.0766
Pd 0.5758 0.6659 0.9234
As 0.0000 0.0000 0.5000
Pd 0.8596 0.2664 0.5319
Pd 0.1404 0.7336 0.4681
B 0.2428 0.0000 0.0000
As 0.6827 0.3654 0.8236
Pd 0.0901 0.6659 0.9234
B 0.7572 0.0000 0.0000
As 0.3173 0.6346 0.1764

Values from the calculation:
size of the total moment: 0.00 μB per cell
final energy: -5.4652 eV per atom
D(E_F): 8.1 states/eV per cell

# BAsPd4

An optimized crystal structure of BAsPd4 (PBE-GGA, Alexandria).

a b c (Å): 4.2783 6.4957 7.1557
angles (deg): 82.48 90.00 109.23
Atoms (fractional coordinates):
Pd 0.5548 0.1096 0.6941
Pd 0.1113 0.2227 0.9438
Pd 0.8887 0.7773 0.0562
As 0.2707 0.5414 0.1503
B 0.0861 0.1722 0.6526
Pd 0.2619 0.5239 0.6203
Pd 0.4452 0.8904 0.3059
Pd 0.9125 0.8249 0.6417
Pd 0.0875 0.1751 0.3583
B 0.9139 0.8278 0.3474
As 0.7293 0.4586 0.8497
Pd 0.7381 0.4761 0.3797

Values from the calculation:
size of the total moment: 0.00 μB per cell
final energy: -5.4886 eV per atom
D(E_F): 5.6 states/eV per cell

# BAsPd3

An optimized crystal structure of BAsPd3 (PBE-GGA, Alexandria).

a b c (Å): 4.2159 4.2159 4.2159
angles (deg): 90.00 90.00 90.00
Atoms (fractional coordinates):
Pd 0.0000 0.5000 0.0000
As 0.5000 0.5000 0.5000
B 0.0000 0.0000 0.0000
Pd 0.0000 0.0000 0.5000
Pd 0.5000 0.0000 0.0000

Values from the calculation:
size of the total moment: 0.00 μB per cell
final energy: -5.4422 eV per atom
D(E_F): 2.3 states/eV per cell
E above lowest polymorph: 4.3 kJ per mole of atoms

# BAsPd3

An optimized crystal structure of BAsPd3 (PBE-GGA, Alexandria).

a b c (Å): 5.7953 5.7953 5.7953
angles (deg): 107.42 106.22 114.92
Atoms (fractional coordinates):
B 0.1515 0.6034 0.0481
B 0.5553 0.1034 0.9519
Pd 0.5552 0.7280 0.7565
As 0.4080 0.2302 0.6778
Pd 0.0995 0.7979 0.8016
Pd 0.9715 0.7987 0.2435
Pd 0.9963 0.2979 0.1984
Pd 0.9715 0.2280 0.6728
Pd 0.5552 0.2987 0.3272
As 0.5524 0.7302 0.3222

Values from the calculation:
size of the total moment: 0.00 μB per cell
final energy: -5.4873 eV per atom
D(E_F): 3.2 states/eV per cell
E above lowest polymorph: 0.0 kJ per mole of atoms

# B2AsPd4

An optimized crystal structure of B2AsPd4 (PBE-GGA, Alexandria).

a b c (Å): 4.6936 4.6936 6.2597
angles (deg): 67.98 67.98 90.00
Atoms (fractional coordinates):
As 0.0000 0.0000 0.0000
Pd 0.5000 0.0000 0.0000
B 0.5762 0.5762 0.8476
Pd 0.7605 0.7605 0.4790
B 0.4238 0.4238 0.1524
Pd 0.2395 0.2395 0.5210
Pd 0.0000 0.5000 0.0000

Values from the calculation:
size of the total moment: 0.00 μB per cell
final energy: -5.0511 eV per atom
D(E_F): 4.8 states/eV per cell

# B2AsPd6

An optimized crystal structure of B2AsPd6 (PBE-GGA, Alexandria).

a b c (Å): 4.0490 5.7829 6.7258
angles (deg): 73.51 72.48 69.51
Atoms (fractional coordinates):
Pd 0.3386 0.7633 0.5594
Pd 0.2551 0.3671 0.1227
Pd 0.0280 0.1424 0.8017
As 0.0000 0.5000 0.5000
B 0.8243 0.2509 0.1005
Pd 0.6614 0.2367 0.4406
B 0.1757 0.7491 0.8995
Pd 0.7449 0.6329 0.8773
Pd 0.9720 0.8576 0.1983

Values from the calculation:
size of the total moment: 0.00 μB per cell
final energy: -5.6293 eV per atom
D(E_F): 3.6 states/eV per cell